First-principles (PBE-GGA) data for a relaxed Pr2ZrRu crystal, as listed in the Alexandria database.

Unit cell a=10.7904 b=10.7904 c=10.7904 alpha=18.16 beta=18.16 gamma=18.16
Sites, in units of the cell vectors:
Pr  0.1002  0.1002  0.1002
Pr  0.8998  0.8998  0.8998
Zr  0.0000  0.0000  0.0000
Ru  0.5000  0.5000  0.5000

- magnetization (μB per formula unit) = 0.0
- ΔE_f (eV per atom) = 0.4378
- space-group type = R-3m (166)

***

First-principles (PBE-GGA) data for a relaxed NbAs2SeF crystal, as listed in the Alexandria database.

Unit cell a=4.2220 b=4.2220 c=5.1124 alpha=90.00 beta=90.00 gamma=90.00
Sites, in units of the cell vectors:
Nb  0.0000  0.0000  0.0000
As  0.0000  0.5000  0.5000
As  0.5000  0.0000  0.5000
Se  0.5000  0.5000  0.0000
F  0.5000  0.5000  0.5000

- energy relative to the elements, uncorrected (eV/atom) = 0.263
- magnetization (μB per formula unit) = 0.0
- space-group type = P4/mmm (123)
- excess energy over the best structure of this formula in the dataset (meV/atom) = 332